# Cd2InSn | the Alexandria database | PBE | optimized geometry
# **Total energy**: -2.10 eV/atom
# **Theoretical density**: 7.56 g/cm³
# **Total magnetic moment**: 0.0 μB per formula unit
# **Formation enthalpy at 0 K**: 39.9 meV per atom
data_Cd2InSn
_chemical_formula_sum 'Cd4 In2 Sn2'
_symmetry_space_group_name_H-M 'I 4/m m m'
_symmetry_Int_Tables_number 139
_symmetry_space_group_name_Hall '-I 4 2'
_cell_length_a 4.783
_cell_length_b 4.783
_cell_length_c 8.805
_cell_angle_alpha 90.00
_cell_angle_beta 90.00
_cell_angle_gamma 90.00
loop_
_atom_site_label
_atom_site_type_symbol
_atom_site_fract_x
_atom_site_fract_y
_atom_site_fract_z
_atom_site_occupancy
Cd1 Cd 0.000 0.500 0.250 1
In1 In 0.000 0.000 0.000 1
Sn1 Sn 0.000 0.000 0.500 1

---

# CrRe2Cl | the Alexandria database | PBE | optimized geometry
# **Total energy**: -7.62 eV/atom
# **Theoretical density**: 10.04 g/cm³
# **Total magnetic moment**: 0.0 μB per formula unit
# **E_form (uncorrected)**: 1468.0 meV/atom
data_CrRe2Cl
_chemical_formula_sum 'Cr4 Re8 Cl4'
_symmetry_space_group_name_H-M 'I -4 2 d'
_symmetry_Int_Tables_number 122
_symmetry_space_group_name_Hall 'I -4 2bw'
_cell_length_a 5.342
_cell_length_b 5.342
_cell_length_c 10.660
_cell_angle_alpha 90.00
_cell_angle_beta 90.00
_cell_angle_gamma 90.00
loop_
_atom_site_label
_atom_site_type_symbol
_atom_site_fract_x
_atom_site_fract_y
_atom_site_fract_z
_atom_site_occupancy
Cr1 Cr 0.000 0.000 0.000 1
Re1 Re 0.247 0.250 0.125 1
Cl1 Cl 0.000 0.000 0.500 1

---

# NaAgSe | the Alexandria database | PBE | optimized geometry
# **Total energy**: -3.18 eV/atom
# **Theoretical density**: 5.29 g/cm³
# **Total magnetic moment**: 0.0 μB per formula unit
# **E_form (uncorrected)**: -623.4 meV/atom
data_NaAgSe
_chemical_formula_sum 'Na4 Ag4 Se4'
_symmetry_space_group_name_H-M 'P n m a'
_symmetry_Int_Tables_number 62
_cell_length_a 7.394
_cell_length_b 4.337
_cell_length_c 8.213
_cell_angle_alpha 90.00
_cell_angle_beta 90.00
_cell_angle_gamma 90.00
loop_
_symmetry_equiv_pos_as_xyz
'x,y,z'
'-x,-y,-z'
'-x+1/2,-y,z+1/2'
'x+1/2,y,-z+1/2'
'x+1/2,-y+1/2,-z+1/2'
'-x+1/2,y+1/2,z+1/2'
'-x,y+1/2,-z'
'x,-y+1/2,z'
loop_
_atom_site_label
_atom_site_type_symbol
_atom_site_fract_x
_atom_site_fract_y
_atom_site_fract_z
_atom_site_occupancy
Na1 Na 0.033 0.250 0.176 1
Ag1 Ag 0.131 0.250 0.558 1
Se1 Se 0.245 0.750 0.374 1